[1]
A geometry-optimized Al2IrOs structure. Source: the Alexandria database, functional PBE.

Lattice parameters (Å, degrees): 2.781 3.834 5.356 90.00 90.00 90.00
Space group Pmm2 (No. 25)
One atom of each set of equivalent atoms:
Al1 0.000 0.000 0.000 (multiplicity 1)
Al2 0.500 0.500 0.286 (multiplicity 1)
Ir1 0.000 0.000 0.489 (multiplicity 1)
Os1 0.500 0.500 0.795 (multiplicity 1)

uncorrected energy: -29.25 eV/cell
ΔH_f (0 K): -0.419 eV per atom
volume: 57.12 Å³/cell
crystal system: orthorhombic


[2]
A geometry-optimized KIrS structure. Source: the Alexandria database, functional PBE.

Lattice parameters (Å, degrees): 11.912 4.154 7.072 90.00 125.44 90.00
Space group Cm (No. 8)
One atom of each set of equivalent atoms:
K1 0.000 0.000 0.000 (multiplicity 2)
K2 0.216 0.500 0.464 (multiplicity 2)
Ir1 0.014 0.000 0.529 (multiplicity 2)
Ir2 0.364 0.000 0.223 (multiplicity 2)
S1 0.251 0.000 0.839 (multiplicity 2)
S2 0.474 0.000 0.612 (multiplicity 2)

uncorrected energy: -59.79 eV/cell
volume: 285.12 Å³/cell
crystal system: monoclinic


[3]
A geometry-optimized NaCaRu2O8 structure. Source: the Alexandria database, functional PBE.

Lattice parameters (Å, degrees): 5.291 5.291 11.885 90.00 90.00 90.00
Space group I-4 (No. 82)
One atom of each set of equivalent atoms:
Na1 0.000 0.000 0.000 (multiplicity 2)
Ca1 0.000 0.500 0.250 (multiplicity 2)
Ru1 0.000 0.000 0.500 (multiplicity 2)
Ru2 0.000 0.500 0.750 (multiplicity 2)
O1 0.136 0.244 0.417 (multiplicity 8)
O2 0.147 0.746 0.829 (multiplicity 8)

uncorrected energy: -154.38 eV/cell
volume: 332.66 Å³/cell
crystal system: tetragonal